CrInTc | PBE | optimized geometry

ΔH_f (0 K), eV per atom: 0.36
Space-group type: P3m1 (156)
DFT total energy, eV/atom: -7.218
DOS at the Fermi energy, states/eV/cell: 2.7
Theoretical density, g/cm³: 9.2

a = 4.3199 Å, b = 4.3199 Å, c = 2.9604 Å
α = 90.00°, β = 90.00°, γ = 120.00°
Fractional positions:
Cr1 0.0000 0.0000 0.0000
In1 0.3333 0.6667 0.3966
Tc1 0.6667 0.3333 0.8425

---

CrInTc2 | PBE | optimized geometry

ΔH_f (0 K), eV per atom: 0.26
Space-group type: Immm (71)
DFT total energy, eV/atom: -8.014
DOS at the Fermi energy, states/eV/cell: 3.7
Theoretical density, g/cm³: 9.8

a = 5.1980 Å, b = 5.1980 Å, c = 5.1980 Å
α = 145.98°, β = 127.92°, γ = 63.68°
Fractional positions:
Cr1 0.0000 0.0000 0.0000
In1 0.5000 0.5000 0.0000
Tc1 0.2268 0.7268 0.5000
Tc2 0.7732 0.2732 0.5000

---

CrInTc2 | PBE | optimized geometry

ΔH_f (0 K), eV per atom: 0.40
Space-group type: P4/mmm (123)
DFT total energy, eV/atom: -7.872
DOS at the Fermi energy, states/eV/cell: 5.7
Theoretical density, g/cm³: 9.6

a = 3.9377 Å, b = 3.9377 Å, c = 4.0494 Å
α = 90.00°, β = 90.00°, γ = 90.00°
Fractional positions:
Cr1 0.0000 0.0000 0.0000
In1 0.5000 0.5000 0.0000
Tc1 0.0000 0.5000 0.5000
Tc2 0.5000 0.0000 0.5000

---

Cr2InTc | PBE | optimized geometry

ΔH_f (0 K), eV per atom: 0.38
Space-group type: Pmmm (47)
DFT total energy, eV/atom: -7.711
DOS at the Fermi energy, states/eV/cell: 4.6
Theoretical density, g/cm³: 8.5

a = 3.3190 Å, b = 4.3037 Å, c = 4.3439 Å
α = 90.00°, β = 90.00°, γ = 90.00°
Fractional positions:
Cr1 0.0000 0.0000 0.0000
Cr2 0.5000 0.0000 0.5000
In1 0.0000 0.5000 0.5000
Tc1 0.5000 0.5000 0.0000

---

CrInTc2 | PBE | optimized geometry

ΔH_f (0 K), eV per atom: 0.33
Space-group type: R-3m (166)
DFT total energy, eV/atom: -7.948
DOS at the Fermi energy, states/eV/cell: 3.9
Theoretical density, g/cm³: 9.7

a = 8.8314 Å, b = 8.8314 Å, c = 8.8314 Å
α = 18.75°, β = 18.75°, γ = 18.75°
Fractional positions:
Cr1 0.0000 0.0000 0.0000
In1 0.5000 0.5000 0.5000
Tc1 0.2595 0.2595 0.2595
Tc2 0.7405 0.7405 0.7405

---

CrInTc2 | PBE | optimized geometry

ΔH_f (0 K), eV per atom: 0.29
Space-group type: P2/m (10)
DFT total energy, eV/atom: -7.987
DOS at the Fermi energy, states/eV/cell: 3.7
Theoretical density, g/cm³: 9.7

a = 2.8605 Å, b = 3.9028 Å, c = 5.6795 Å
α = 90.00°, β = 100.54°, γ = 90.00°
Fractional positions:
Cr1 0.0000 0.0000 0.0000
In1 0.0000 0.0000 0.5000
Tc1 0.3900 0.5000 0.2120
Tc2 0.6100 0.5000 0.7880

---

CrInTc | PBE | optimized geometry

ΔH_f (0 K), eV per atom: 0.46
Space-group type: C2/m (12)
DFT total energy, eV/atom: -7.116
DOS at the Fermi energy, states/eV/cell: 4.2
Theoretical density, g/cm³: 7.1

a = 4.1029 Å, b = 4.1029 Å, c = 8.6687 Å
α = 93.31°, β = 93.31°, γ = 58.67°
Fractional positions:
Cr1 0.2118 0.2118 0.3753
Cr2 0.7882 0.7882 0.6247
In1 0.4621 0.4621 0.8363
In2 0.5379 0.5379 0.1637
Tc1 0.1230 0.1230 0.6373
Tc2 0.8770 0.8770 0.3627

---

Cr2InTc | PBE | optimized geometry

ΔH_f (0 K), eV per atom: 0.81
Space-group type: I-42d (122)
DFT total energy, eV/atom: -7.281
DOS at the Fermi energy, states/eV/cell: 10.5
Theoretical density, g/cm³: 7.9

a = 5.6466 Å, b = 5.6466 Å, c = 5.6466 Å
α = 103.01°, β = 103.01°, γ = 123.35°
Fractional positions:
Cr1 0.0698 0.1250 0.4448
Cr2 0.3750 0.9302 0.0552
Cr3 0.6802 0.6250 0.5552
Cr4 0.8750 0.3198 0.9448
In1 0.2500 0.7500 0.5000
In2 0.5000 0.5000 0.0000
Tc1 0.0000 0.0000 0.0000
Tc2 0.7500 0.2500 0.5000

---

CrInTc4 | PBE | optimized geometry

ΔH_f (0 K), eV per atom: 0.38
Space-group type: F-43m (216)
DFT total energy, eV/atom: -8.593
DOS at the Fermi energy, states/eV/cell: 5.9
Theoretical density, g/cm³: 9.5

a = 5.1615 Å, b = 5.1615 Å, c = 5.1615 Å
α = 60.00°, β = 60.00°, γ = 60.00°
Fractional positions:
Cr1 0.0000 0.0000 0.0000
In1 0.7500 0.7500 0.7500
Tc1 0.3750 0.3750 0.3750
Tc2 0.3750 0.3750 0.8751
Tc3 0.3750 0.8751 0.3750
Tc4 0.8751 0.3750 0.3750

---

CrInTc2 | PBE | optimized geometry

ΔH_f (0 K), eV per atom: 0.18
Space-group type: P4/mmm (123)
DFT total energy, eV/atom: -8.095
DOS at the Fermi energy, states/eV/cell: 4.4
Theoretical density, g/cm³: 9.8

a = 2.9357 Å, b = 2.9357 Å, c = 7.1319 Å
α = 90.00°, β = 90.00°, γ = 90.00°
Fractional positions:
Cr1 0.0000 0.0000 0.0000
In1 0.0000 0.0000 0.5000
Tc1 0.5000 0.5000 0.2081
Tc2 0.5000 0.5000 0.7919

---

Cr4InTc | PBE | optimized geometry

ΔH_f (0 K), eV per atom: 0.17
Space-group type: F-43m (216)
DFT total energy, eV/atom: -8.426
DOS at the Fermi energy, states/eV/cell: 7.0
Theoretical density, g/cm³: 8.6

a = 4.8528 Å, b = 4.8528 Å, c = 4.8528 Å
α = 60.00°, β = 60.00°, γ = 60.00°
Fractional positions:
Cr1 0.1246 0.1246 0.1246
Cr2 0.1246 0.1246 0.6262
Cr3 0.1246 0.6262 0.1246
Cr4 0.6262 0.1246 0.1246
In1 0.7500 0.7500 0.7500
Tc1 0.5000 0.5000 0.5000

---

Cr2InTc | PBE | optimized geometry

ΔH_f (0 K), eV per atom: 0.32
Space-group type: Pmm2 (25)
DFT total energy, eV/atom: -7.767
DOS at the Fermi energy, states/eV/cell: 3.7
Theoretical density, g/cm³: 8.7

a = 2.8923 Å, b = 3.6498 Å, c = 5.7491 Å
α = 90.00°, β = 90.00°, γ = 90.00°
Fractional positions:
Cr1 0.0000 0.0000 0.0000
Cr2 0.5000 0.5000 0.1886
In1 0.0000 0.0000 0.4889
Tc1 0.5000 0.5000 0.7989